1.
# K3ClF PBE relaxed
data_K3ClF
_cell_length_a 5.484
_cell_length_b 5.484
_cell_length_c 5.484
_cell_angle_alpha 90.00
_cell_angle_beta 90.00
_cell_angle_gamma 90.00
_space_group_name_H-M_alt 'P m -3 m'
_space_group_IT_number 221
_space_group_name_Hall '-P 4 2 3'
loop_
_atom_site_label
_atom_site_type_symbol
_atom_site_fract_x
_atom_site_fract_y
_atom_site_fract_z
_atom_site_occupancy
K1 K 0.000 0.000 0.500 1
Cl1 Cl 0.500 0.500 0.500 1
F1 F 0.000 0.000 0.000 1
# offset from the most stable computed form: 0 meV per atom

=====

2.
A geometry-optimized K12Cl3F5 structure. Source: the Alexandria database, functional PBE.

The structure in CIF format:
```
data_K12Cl3F5
_cell_length_a 17.693
_cell_length_b 17.693
_cell_length_c 17.693
_cell_angle_alpha 90.00
_cell_angle_beta 90.00
_cell_angle_gamma 90.00
_space_group_name_H-M_alt 'I a -3 d'
_space_group_IT_number 230
_space_group_name_Hall '-I 4bd 2c 3'
loop_
_atom_site_label
_atom_site_type_symbol
_atom_site_fract_x
_atom_site_fract_y
_atom_site_fract_z
_atom_site_occupancy
K1 K 0.031 0.047 0.652 1
Cl1 Cl 0.000 0.250 0.125 1
F1 F 0.000 0.000 0.000 1
F2 F 0.000 0.250 0.375 1
```

=====

3.
A geometry-optimized KClF4 structure. Source: the Alexandria database, functional PBE.

The structure in CIF format:
```
data_KClF4
_cell_length_a 6.024
_cell_length_b 6.024
_cell_length_c 11.318
_cell_angle_alpha 90.00
_cell_angle_beta 90.00
_cell_angle_gamma 90.00
_space_group_name_H-M_alt 'I 41/a'
_space_group_IT_number 88
loop_
_space_group_symop_operation_xyz
'x,y,z'
'-x,-y,-z'
'-y+3/4,x+1/4,z+1/4'
'y+3/4,-x+1/4,-z+1/4'
'-x+1/2,-y,z+1/2'
'x+1/2,y,-z+1/2'
'y+3/4,-x+3/4,z+3/4'
'-y+3/4,x+3/4,-z+3/4'
'x+1/2,y+1/2,z+1/2'
'-x+1/2,-y+1/2,-z+1/2'
'-y+1/4,x+3/4,z+3/4'
'y+1/4,-x+3/4,-z+3/4'
'-x,-y+1/2,z'
'x,y+1/2,-z'
'y+1/4,-x+1/4,z+1/4'
'-y+1/4,x+1/4,-z+1/4'
loop_
_atom_site_label
_atom_site_type_symbol
_atom_site_fract_x
_atom_site_fract_y
_atom_site_fract_z
_atom_site_occupancy
K1 K 0.000 0.250 0.125 1
Cl1 Cl 0.000 0.250 0.625 1
F1 F 0.102 0.037 0.368 1
```

=====

4.
A geometry-optimized KCl2F structure. Source: the Alexandria database, functional PBE.

The structure in CIF format:
```
data_KCl2F
_cell_length_a 7.285
_cell_length_b 7.285
_cell_length_c 7.285
_cell_angle_alpha 90.00
_cell_angle_beta 90.00
_cell_angle_gamma 90.00
_space_group_name_H-M_alt 'F m -3 m'
_space_group_IT_number 225
_space_group_name_Hall '-F 4 2 3'
loop_
_atom_site_label
_atom_site_type_symbol
_atom_site_fract_x
_atom_site_fract_y
_atom_site_fract_z
_atom_site_occupancy
K1 K 0.000 0.000 0.000 1
Cl1 Cl 0.250 0.250 0.250 1
F1 F 0.000 0.000 0.500 1
```

=====

Looking at energy relative to the elements, uncorrected for the records above, in order, we have -1.620, -1.778, -1.433, -0.649 eV/atom.
Looking at V for the records above, in order, we have 164.9, 5538.9, 410.7, 386.6 Å³ per cell.
Looking at total energy for the records above, in order, we have -15.1, -508.9, -76.1, -37.0 eV/cell.